SrAlInAu6 PBE-GGA relaxed; mass density = 11.8 g cm⁻³; E_form = -278.9 meV/atom; size of the total moment = 0.00 μB per atom; V = 395.7 Å³ per cell
1.0
-3.709 4.882 5.463
3.709 -4.882 5.463
3.709 4.882 -5.463
Sr Al In Au
2 2 2 12
Direct
0.472 0.222 0.250 Sr
0.528 0.778 0.750 Sr
0.000 0.000 0.000 Al
0.500 0.000 0.500 Al
0.000 0.000 0.500 In
0.000 0.500 0.000 In
0.140 0.426 0.314 Au
0.140 0.826 0.714 Au
0.187 0.937 0.250 Au
0.225 0.475 0.750 Au
0.387 0.174 0.814 Au
0.387 0.574 0.214 Au
0.613 0.426 0.786 Au
0.613 0.826 0.186 Au
0.775 0.525 0.250 Au
0.813 0.063 0.750 Au
0.860 0.174 0.286 Au
0.860 0.574 0.686 Au